A plane-wave DFT calculation with PBE was carried out for a relaxed CaThCu2Ge2 crystal.

Computed properties:
SG: P-3m1, No. 164
Calculated formation energy in eV/atom: -0.591

Unit cell a=4.2806 b=4.2806 c=7.8772 alpha=90.00 beta=90.00 gamma=120.00
Sites, in units of the cell vectors:
Ca  0.0000  0.0000  0.0000
Th  0.0000  0.0000  0.5000
Cu  0.3333  0.6667  0.7498
Cu  0.6667  0.3333  0.2502
Ge  0.3333  0.6667  0.2608
Ge  0.6667  0.3333  0.7392



A plane-wave DFT calculation with PBE was carried out for a relaxed KBa2Sr crystal.

Computed properties:
SG: R-3m, No. 166
Calculated formation energy in eV/atom: 0.046

Unit cell a=4.4442 b=4.4442 c=44.4965 alpha=90.00 beta=90.00 gamma=120.00
Sites, in units of the cell vectors:
K  0.0000  0.0000  0.0000
K  0.3333  0.6667  0.6667
K  0.6667  0.3333  0.3333
Ba  0.0000  0.0000  0.2458
Ba  0.0000  0.0000  0.7542
Ba  0.3333  0.6667  0.4209
Ba  0.3333  0.6667  0.9124
Ba  0.6667  0.3333  0.0876
Ba  0.6667  0.3333  0.5791
Sr  0.0000  0.0000  0.5000
Sr  0.3333  0.6667  0.1667
Sr  0.6667  0.3333  0.8333



A plane-wave DFT calculation with PBE was carried out for a relaxed MnCu2Ir crystal.

Computed properties:
SG: R-3m, No. 166
Calculated formation energy in eV/atom: 0.182

Unit cell a=2.6599 b=2.6599 c=25.9014 alpha=90.00 beta=90.00 gamma=120.00
Sites, in units of the cell vectors:
Mn  0.0000  0.0000  0.0000
Mn  0.3333  0.6667  0.6667
Mn  0.6667  0.3333  0.3333
Cu  0.0000  0.0000  0.2522
Cu  0.0000  0.0000  0.7478
Cu  0.3333  0.6667  0.4145
Cu  0.3333  0.6667  0.9189
Cu  0.6667  0.3333  0.0811
Cu  0.6667  0.3333  0.5855
Ir  0.0000  0.0000  0.5000
Ir  0.3333  0.6667  0.1667
Ir  0.6667  0.3333  0.8333



A plane-wave DFT calculation with PBE was carried out for a relaxed TlZnOs crystal.

Computed properties:
SG: I4mm, No. 107
Calculated formation energy in eV/atom: 0.667

Unit cell a=3.3049 b=3.3049 c=9.7216 alpha=90.00 beta=90.00 gamma=90.00
Sites, in units of the cell vectors:
Tl  0.0000  0.0000  0.0000
Tl  0.5000  0.5000  0.5000
Zn  0.0000  0.0000  0.3009
Zn  0.5000  0.5000  0.8009
Os  0.0000  0.0000  0.6883
Os  0.5000  0.5000  0.1883



A plane-wave DFT calculation with PBE was carried out for a relaxed CaTaCd2Si crystal.

Computed properties:
SG: P4/mmm, No. 123
Formation energy from raw total energies in meV per atom: 1916

Unit cell a=5.3632 b=5.3632 c=5.1516 alpha=90.00 beta=90.00 gamma=90.00
Sites, in units of the cell vectors:
Ca  0.0000  0.0000  0.0000
Ta  0.0000  0.0000  0.5000
Cd  0.0000  0.5000  0.0000
Cd  0.5000  0.0000  0.0000
Si  0.5000  0.5000  0.5000



A plane-wave DFT calculation with PBE was carried out for a relaxed SmMg2Hg crystal.

Computed properties:
SG: I-4m2, No. 119
Calculated formation energy in eV/atom: -0.287

Unit cell a=5.1640 b=5.1640 c=7.2406 alpha=90.00 beta=90.00 gamma=90.00
Sites, in units of the cell vectors:
Sm  0.0000  0.0000  0.0000
Sm  0.5000  0.5000  0.5000
Mg  0.0000  0.0000  0.5000
Mg  0.0000  0.5000  0.2500
Mg  0.5000  0.0000  0.7500
Mg  0.5000  0.5000  0.0000
Hg  0.0000  0.5000  0.7500
Hg  0.5000  0.0000  0.2500